(1)
The following is a DFT calculation (GGA-PBE) of a geometry-optimized ScBiPbAu2 structure.

```
ScBiPbAu2
1.0
5.241 0.000 0.000
0.000 5.241 0.000
0.000 0.000 6.160
Sc Bi Pb Au
1 1 1 2
Direct
0.000 0.000 0.000
0.500 0.500 0.500
0.500 0.500 0.000
0.000 0.500 0.500
0.500 0.000 0.500
```

Computed properties:
- Spin magnetization: 0.0 μB per cell
- ρ: 8.39 g/cm3
- Volume: 33.85 A^3/atom
- Energy of formation from the pure elements: 0.6422 eV per atom

(2)
The following is a DFT calculation (GGA-PBE) of a geometry-optimized Bi2PbAuSe structure.

```
Bi2PbAuSe
1.0
5.947 0.000 0.000
0.000 5.947 0.000
0.000 0.000 5.334
Bi Pb Au Se
2 1 1 1
Direct
0.000 0.500 0.000
0.500 0.000 0.000
0.000 0.000 0.000
0.500 0.500 0.500
0.000 0.000 0.500
```

Computed properties:
- Spin magnetization: 0.0 μB per cell
- ρ: 7.93 g/cm3
- Volume: 37.73 A^3/atom
- Electronic total energy: -2.738 eV/atom

(3)
The following is a DFT calculation (GGA-PBE) of a geometry-optimized SiBiPb2Au6 structure.

```
SiBiPb2Au6
1.0
5.823 0.000 0.000
0.000 8.918 0.000
0.000 0.000 9.371
Si Bi Pb Au
2 2 4 12
Direct
0.250 0.250 0.229
0.750 0.750 0.771
0.250 0.750 0.299
0.750 0.250 0.701
0.250 0.002 0.740
0.250 0.498 0.740
0.750 0.502 0.260
0.750 0.998 0.260
0.003 0.250 0.438
0.012 0.750 0.986
0.250 0.501 0.107
0.250 0.999 0.107
0.488 0.750 0.986
0.497 0.250 0.438
0.503 0.750 0.562
0.512 0.250 0.014
0.750 0.001 0.893
0.750 0.499 0.893
0.988 0.250 0.014
0.997 0.750 0.562
```

Computed properties:
- Spin magnetization: 0.0 μB per cell
- ρ: 12.51 g/cm3
- Volume: 24.33 A^3/atom
- Electronic total energy: -3.651 eV/atom